(1)
Here is an optimized crystal structure of Al2CdCl from Alexandria via LeMat-Bulk. Energies are from GGA-PBE.

a b c (Å): 3.1358 3.1358 8.4746
angles (deg): 90.00 90.00 90.00
With the nearest neighbours (Å) after each atom.
Positions (direct):
Al 0.0000 0.0000 0.2441  4 Cl 3.03, 4 Cd 3.10, 4 Al 3.14
Al 0.0000 0.0000 0.7559  4 Cl 3.03, 4 Cd 3.10, 4 Al 3.14
Cd 0.5000 0.5000 0.5000  8 Al 3.10, 4 Cd 3.14
Cl 0.5000 0.5000 0.0000  8 Al 3.03, 4 Cl 3.14

Values from the calculation:
For the volume, the calculation gives 20.8 Å³ per atom. The spin magnetization comes out at 0.00 μB/f.u.


(2)
Here is an optimized crystal structure of Al2CdCl from Alexandria via LeMat-Bulk. Energies are from GGA-PBE.

a b c (Å): 10.4980 3.0581 5.1980
angles (deg): 90.00 95.82 90.00
With the nearest neighbours (Å) after each atom.
Positions (direct):
Al 0.2255 0.0000 0.2401  1 Cl 2.56
Al 0.2745 0.5000 0.7599  1 Cl 2.56
Al 0.7255 0.5000 0.2401  1 Cl 2.56
Al 0.7745 0.0000 0.7599  1 Cl 2.56
Cd 0.0000 0.5000 0.5000  4 Cl 3.02, 6 Al 3.06-3.23, 2 Cd 3.06
Cd 0.5000 0.0000 0.5000  4 Cl 3.02, 6 Al 3.06-3.23, 2 Cd 3.06
Cl 0.0000 0.0000 0.0000  2 Al 2.56
Cl 0.5000 0.5000 0.0000  2 Al 2.56

Values from the calculation:
For the volume, the calculation gives 20.8 Å³ per atom. The spin magnetization comes out at 0.00 μB/f.u.


Which is the most stable structure? (2) is the most stable.


(1)
Here is an optimized crystal structure of AlCdCl from Alexandria via LeMat-Bulk. Energies are from GGA-PBE.

a b c (Å): 7.0397 7.0397 7.0397
angles (deg): 90.00 90.00 90.00
With the nearest neighbours (Å) after each atom.
Positions (direct):
Al 0.0000 0.0000 0.0000  4 Cd 3.05
Al 0.0000 0.5000 0.5000  4 Cd 3.05
Al 0.5000 0.0000 0.5000  4 Cd 3.05
Al 0.5000 0.5000 0.0000  4 Cd 3.05
Cd 0.2500 0.2500 0.7500  4 Cl 3.05, 4 Al 3.05
Cd 0.2500 0.7500 0.2500  4 Cl 3.05, 4 Al 3.05
Cd 0.7500 0.2500 0.2500  4 Cl 3.05, 4 Al 3.05
Cd 0.7500 0.7500 0.7500  4 Cl 3.05, 4 Al 3.05
Cl 0.0000 0.0000 0.5000  4 Cd 3.05
Cl 0.0000 0.5000 0.0000  4 Cd 3.05
Cl 0.5000 0.0000 0.0000  4 Cd 3.05
Cl 0.5000 0.5000 0.5000  4 Cd 3.05

Values from the calculation:
For the volume, the calculation gives 29.1 Å³ per atom. The spin magnetization comes out at 0.00 μB/f.u.


(2)
Here is an optimized crystal structure of AlCdCl from Alexandria via LeMat-Bulk. Energies are from GGA-PBE.

a b c (Å): 3.1461 5.5747 16.3367
angles (deg): 90.00 90.00 90.00
With the nearest neighbours (Å) after each atom.
Positions (direct):
Al 0.0000 0.0000 0.0000  2 Cl 2.39
Al 0.0000 0.5000 0.5000  2 Cl 2.39
Al 0.5000 0.0000 0.5000  2 Cl 2.39
Al 0.5000 0.5000 0.0000  2 Cl 2.39
Cd 0.0000 0.0000 0.3313  6 Cd 3.15-3.20, 2 Al 3.17
Cd 0.0000 0.5000 0.8313  6 Cd 3.15-3.20, 2 Al 3.17
Cd 0.5000 0.0000 0.8313  6 Cd 3.15-3.20, 2 Al 3.17
Cd 0.5000 0.5000 0.3313  6 Cd 3.15-3.20, 2 Al 3.17
Cl 0.0000 0.0000 0.6103  2 Al 2.39
Cl 0.0000 0.5000 0.1103  2 Al 2.39
Cl 0.5000 0.0000 0.1103  2 Al 2.39
Cl 0.5000 0.5000 0.6103  2 Al 2.39

Values from the calculation:
For the volume, the calculation gives 23.9 Å³ per atom. The spin magnetization comes out at 0.00 μB/f.u.


(3)
Here is an optimized crystal structure of AlCdCl from Alexandria via LeMat-Bulk. Energies are from GGA-PBE.

a b c (Å): 3.1909 3.1909 8.0361
angles (deg): 90.00 90.00 120.00
With the nearest neighbours (Å) after each atom.
Positions (direct):
Al 0.0000 0.0000 0.0000  3 Cl 2.50
Cd 0.6667 0.3333 0.2974  3 Al 3.02, 6 Cd 3.19
Cl 0.3333 0.6667 0.7890  3 Al 2.50

Values from the calculation:
For the volume, the calculation gives 23.6 Å³ per atom. The spin magnetization comes out at 0.00 μB/f.u.


(4)
Here is an optimized crystal structure of AlCdCl from Alexandria via LeMat-Bulk. Energies are from GGA-PBE.

a b c (Å): 4.9181 4.9181 3.2125
angles (deg): 90.00 90.00 120.00
With the nearest neighbours (Å) after each atom.
Positions (direct):
Al 0.0000 0.0000 0.0000  3 Cl 2.84
Cd 0.6667 0.3333 0.4996  2 Cd 3.21, 6 Cl 3.26-3.27, 6 Al 3.26
Cl 0.3333 0.6667 0.0024  3 Al 2.84

Values from the calculation:
For the volume, the calculation gives 22.4 Å³ per atom. The spin magnetization comes out at 0.00 μB/f.u.


Which is the most stable structure? (3) is the most stable.


(1)
Here is an optimized crystal structure of AlCdCl from Alexandria via LeMat-Bulk. Energies are from GGA-PBE.

a b c (Å): 6.9804 6.9804 6.9804
angles (deg): 90.00 90.00 90.00
With the nearest neighbours (Å) after each atom.
Positions (direct):
Al 0.0000 0.0000 0.0000  4 Cd 3.02, 4 Cl 3.02
Al 0.0000 0.5000 0.5000  4 Cd 3.02, 4 Cl 3.02
Al 0.5000 0.0000 0.5000  4 Cd 3.02, 4 Cl 3.02
Al 0.5000 0.5000 0.0000  4 Cd 3.02, 4 Cl 3.02
Cd 0.2500 0.2500 0.2500  4 Al 3.02
Cd 0.2500 0.7500 0.7500  4 Al 3.02
Cd 0.7500 0.2500 0.7500  4 Al 3.02
Cd 0.7500 0.7500 0.2500  4 Al 3.02
Cl 0.2500 0.2500 0.7500  4 Al 3.02
Cl 0.2500 0.7500 0.2500  4 Al 3.02
Cl 0.7500 0.2500 0.2500  4 Al 3.02
Cl 0.7500 0.7500 0.7500  4 Al 3.02

Values from the calculation:
For the volume, the calculation gives 28.3 Å³ per atom. The spin magnetization comes out at 0.00 μB/f.u.


(2)
Here is an optimized crystal structure of AlCdCl from Alexandria via LeMat-Bulk. Energies are from GGA-PBE.

a b c (Å): 3.2366 3.2366 14.9930
angles (deg): 90.00 90.00 90.00
With the nearest neighbours (Å) after each atom.
Positions (direct):
Al 0.0000 0.0000 0.0000  4 Cl 2.75
Al 0.5000 0.5000 0.5000  4 Cl 2.75
Cd 0.0000 0.0000 0.3459  4 Cd 3.24, 4 Al 3.25
Cd 0.5000 0.5000 0.8459  4 Cd 3.24, 4 Al 3.25
Cl 0.0000 0.0000 0.6011  4 Al 2.75
Cl 0.5000 0.5000 0.1011  4 Al 2.75

Values from the calculation:
For the volume, the calculation gives 26.2 Å³ per atom. The spin magnetization comes out at 0.00 μB/f.u.


Which is the most stable structure? (2) is the most stable.


(1)
Here is an optimized crystal structure of AlCd2Cl from Alexandria via LeMat-Bulk. Energies are from GGA-PBE.

a b c (Å): 4.2011 4.2011 11.3922
angles (deg): 90.00 90.00 90.00
With the nearest neighbours (Å) after each atom.
Positions (direct):
Al 0.0000 0.0000 0.0000  4 Cl 2.97
Al 0.5000 0.5000 0.5000  4 Cl 2.97
Cd 0.0000 0.5000 0.2500  4 Cd 2.97
Cd 0.0000 0.5000 0.7500  4 Cd 2.97
Cd 0.5000 0.0000 0.2500  4 Cd 2.97
Cd 0.5000 0.0000 0.7500  4 Cd 2.97
Cl 0.0000 0.0000 0.5000  4 Al 2.97
Cl 0.5000 0.5000 0.0000  4 Al 2.97

Values from the calculation:
For the volume, the calculation gives 25.1 Å³ per atom. The spin magnetization comes out at 0.00 μB/f.u.


(2)
Here is an optimized crystal structure of AlCd2Cl from Alexandria via LeMat-Bulk. Energies are from GGA-PBE.

a b c (Å): 7.2936 7.2936 7.2936
angles (deg): 90.00 90.00 90.00
With the nearest neighbours (Å) after each atom.
Positions (direct):
Al 0.0000 0.0000 0.0000  4 Cd 3.16, 4 Cl 3.16
Al 0.0000 0.5000 0.5000  4 Cd 3.16, 4 Cl 3.16
Al 0.5000 0.0000 0.5000  4 Cd 3.16, 4 Cl 3.16
Al 0.5000 0.5000 0.0000  4 Cd 3.16, 4 Cl 3.16
Cd 0.0000 0.0000 0.5000  4 Cd 3.16, 4 Cl 3.16
Cd 0.0000 0.5000 0.0000  4 Cd 3.16, 4 Cl 3.16
Cd 0.2500 0.2500 0.7500  4 Cd 3.16, 4 Al 3.16
Cd 0.2500 0.7500 0.2500  4 Cd 3.16, 4 Al 3.16
Cd 0.5000 0.0000 0.0000  4 Cd 3.16, 4 Cl 3.16
Cd 0.5000 0.5000 0.5000  4 Cd 3.16, 4 Cl 3.16
Cd 0.7500 0.2500 0.2500  4 Cd 3.16, 4 Al 3.16
Cd 0.7500 0.7500 0.7500  4 Al 3.16, 4 Cd 3.16
Cl 0.2500 0.2500 0.2500  4 Cd 3.16, 4 Al 3.16
Cl 0.2500 0.7500 0.7500  4 Cd 3.16, 4 Al 3.16
Cl 0.7500 0.2500 0.7500  4 Cd 3.16, 4 Al 3.16
Cl 0.7500 0.7500 0.2500  4 Cd 3.16, 4 Al 3.16

Values from the calculation:
For the volume, the calculation gives 24.2 Å³ per atom. The spin magnetization comes out at 0.00 μB/f.u.


(3)
Here is an optimized crystal structure of AlCd2Cl from Alexandria via LeMat-Bulk. Energies are from GGA-PBE.

a b c (Å): 4.1719 4.1719 5.8419
angles (deg): 90.00 90.00 90.00
With the nearest neighbours (Å) after each atom.
Positions (direct):
Al 0.0000 0.0000 0.0000  4 Cl 2.95
Cd 0.0000 0.5000 0.5000  4 Cd 2.95
Cd 0.5000 0.0000 0.5000  4 Cd 2.95
Cl 0.5000 0.5000 0.0000  4 Al 2.95

Values from the calculation:
For the volume, the calculation gives 25.4 Å³ per atom. The spin magnetization comes out at 0.00 μB/f.u.


Which is the most stable structure? (1) is the most stable.


(1)
Here is an optimized crystal structure of AlCd2Cl from Alexandria via LeMat-Bulk. Energies are from GGA-PBE.

a b c (Å): 13.8838 3.0510 4.6675
angles (deg): 90.00 108.82 90.00
With the nearest neighbours (Å) after each atom.
Positions (direct):
Al 0.0000 0.0000 0.0000  4 Cl 2.79, 4 Cd 2.96, 2 Al 3.05
Al 0.5000 0.5000 0.0000  4 Cl 2.79, 4 Cd 2.96, 2 Al 3.05
Cd 0.1929 0.5000 0.1964  2 Al 2.96, 6 Cd 3.05-3.17
Cd 0.3071 0.0000 0.8036  2 Al 2.96, 6 Cd 3.05-3.17
Cd 0.6929 0.0000 0.1964  2 Al 2.96, 6 Cd 3.05-3.17
Cd 0.8071 0.5000 0.8036  2 Al 2.96, 6 Cd 3.05-3.17
Cl 0.0000 0.5000 0.5000  4 Al 2.79, 2 Cl 3.05
Cl 0.5000 0.0000 0.5000  4 Al 2.79, 2 Cl 3.05

Values from the calculation:
For the volume, the calculation gives 23.4 Å³ per atom. The spin magnetization comes out at 0.00 μB/f.u.


(2)
Here is an optimized crystal structure of AlCd2Cl from Alexandria via LeMat-Bulk. Energies are from GGA-PBE.

a b c (Å): 4.3574 4.3574 9.9283
angles (deg): 90.00 90.00 90.00
With the nearest neighbours (Å) after each atom.
Positions (direct):
Al 0.0000 0.0000 0.0000  8 Cd 3.08-3.30, 4 Cl 3.30
Al 0.5000 0.5000 0.5000  8 Cd 3.08-3.30, 4 Cl 3.30
Cd 0.0000 0.0000 0.5000  4 Al 3.08, 4 Cd 3.30, 4 Cl 3.30
Cd 0.0000 0.5000 0.7500  4 Cl 3.08, 4 Al 3.30, 4 Cd 3.30
Cd 0.5000 0.0000 0.2500  4 Cl 3.08, 4 Cd 3.30, 4 Al 3.30
Cd 0.5000 0.5000 0.0000  4 Al 3.08, 4 Cd 3.30, 4 Cl 3.30
Cl 0.0000 0.5000 0.2500  8 Cd 3.08-3.30, 4 Al 3.30
Cl 0.5000 0.0000 0.7500  8 Cd 3.08-3.30, 4 Al 3.30

Values from the calculation:
For the volume, the calculation gives 23.6 Å³ per atom. The spin magnetization comes out at 0.00 μB/f.u.


(3)
Here is an optimized crystal structure of AlCd2Cl from Alexandria via LeMat-Bulk. Energies are from GGA-PBE.

a b c (Å): 7.3050 7.3050 7.3050
angles (deg): 90.00 90.00 90.00
With the nearest neighbours (Å) after each atom.
Positions (direct):
Al 0.0000 0.0000 0.0000  8 Cd 3.16
Al 0.0000 0.5000 0.5000  8 Cd 3.16
Al 0.5000 0.0000 0.5000  8 Cd 3.16
Al 0.5000 0.5000 0.0000  8 Cd 3.16
Cd 0.2500 0.2500 0.2500  4 Cl 3.16, 4 Al 3.16
Cd 0.2500 0.2500 0.7500  4 Cl 3.16, 4 Al 3.16
Cd 0.2500 0.7500 0.2500  4 Cl 3.16, 4 Al 3.16
Cd 0.2500 0.7500 0.7500  4 Cl 3.16, 4 Al 3.16
Cd 0.7500 0.2500 0.2500  4 Cl 3.16, 4 Al 3.16
Cd 0.7500 0.2500 0.7500  4 Cl 3.16, 4 Al 3.16
Cd 0.7500 0.7500 0.2500  4 Cl 3.16, 4 Al 3.16
Cd 0.7500 0.7500 0.7500  4 Cl 3.16, 4 Al 3.16
Cl 0.0000 0.0000 0.5000  8 Cd 3.16
Cl 0.0000 0.5000 0.0000  8 Cd 3.16
Cl 0.5000 0.0000 0.0000  8 Cd 3.16
Cl 0.5000 0.5000 0.5000  8 Cd 3.16

Values from the calculation:
For the volume, the calculation gives 24.4 Å³ per atom. The spin magnetization comes out at 0.00 μB/f.u.


Which is the most stable structure? (1) is the most stable.


(1)
Here is an optimized crystal structure of AlCd2Cl from Alexandria via LeMat-Bulk. Energies are from GGA-PBE.

a b c (Å): 4.3749 5.1777 7.8492
angles (deg): 90.00 90.00 90.00
With the nearest neighbours (Å) after each atom.
Positions (direct):
Al 0.0000 0.0000 0.0000  8 Cd 2.86-3.18
Al 0.5000 0.5000 0.0000  8 Cd 2.86-3.18
Cd 0.0000 0.5000 0.2343  4 Al 2.86-3.18, 2 Cl 3.02
Cd 0.0000 0.5000 0.7657  4 Al 2.86-3.18, 2 Cl 3.02
Cd 0.5000 0.0000 0.2343  4 Al 2.86-3.18, 2 Cl 3.02
Cd 0.5000 0.0000 0.7657  4 Al 2.86-3.18, 2 Cl 3.02
Cl 0.0000 0.0000 0.5000  8 Cd 3.02-3.32
Cl 0.5000 0.5000 0.5000  8 Cd 3.02-3.32

Values from the calculation:
For the volume, the calculation gives 22.2 Å³ per atom. The spin magnetization comes out at 0.00 μB/f.u.


(2)
Here is an optimized crystal structure of AlCd2Cl from Alexandria via LeMat-Bulk. Energies are from GGA-PBE.

a b c (Å): 5.3788 5.3788 3.0412
angles (deg): 90.00 90.00 90.00
With the nearest neighbours (Å) after each atom.
Positions (direct):
Al 0.0000 0.0000 0.0000  2 Al 3.04, 8 Cd 3.09
Cd 0.0000 0.5000 0.5000  2 Cd 3.04, 4 Cl 3.09, 4 Al 3.09
Cd 0.5000 0.0000 0.5000  2 Cd 3.04, 4 Cl 3.09, 4 Al 3.09
Cl 0.5000 0.5000 0.0000  2 Cl 3.04, 8 Cd 3.09

Values from the calculation:
For the volume, the calculation gives 22.0 Å³ per atom. The spin magnetization comes out at 0.00 μB/f.u.


(3)
Here is an optimized crystal structure of AlCd2Cl from Alexandria via LeMat-Bulk. Energies are from GGA-PBE.

a b c (Å): 6.8474 6.8474 10.8459
angles (deg): 90.00 90.00 90.00
With the nearest neighbours (Å) after each atom.
Positions (direct):
Al 0.0000 0.0000 0.0000  4 Cd 2.71
Al 0.0000 0.5000 0.2500  4 Cd 2.71
Al 0.5000 0.0000 0.7500  4 Cd 2.71
Al 0.5000 0.5000 0.5000  4 Cd 2.71
Cd 0.2347 0.2500 0.1250  2 Al 2.71, 2 Cl 2.84
Cd 0.2500 0.7347 0.3750  2 Al 2.71, 2 Cl 2.84
Cd 0.2500 0.7653 0.8750  2 Al 2.71, 2 Cl 2.84
Cd 0.2653 0.2500 0.6250  2 Al 2.71, 2 Cl 2.84
Cd 0.7347 0.7500 0.6250  2 Al 2.71, 2 Cl 2.84
Cd 0.7500 0.2347 0.8750  2 Al 2.71, 2 Cl 2.84
Cd 0.7500 0.2653 0.3750  2 Al 2.71, 2 Cl 2.84
Cd 0.7653 0.7500 0.1250  2 Al 2.71, 2 Cl 2.84
Cl 0.0000 0.0000 0.5000  4 Cd 2.84
Cl 0.0000 0.5000 0.7500  4 Cd 2.84
Cl 0.5000 0.0000 0.2500  4 Cd 2.84
Cl 0.5000 0.5000 0.0000  4 Cd 2.84

Values from the calculation:
For the volume, the calculation gives 31.8 Å³ per atom. The spin magnetization comes out at 0.00 μB/f.u.


(4)
Here is an optimized crystal structure of AlCd2Cl from Alexandria via LeMat-Bulk. Energies are from GGA-PBE.

a b c (Å): 3.0909 5.7091 10.5819
angles (deg): 90.00 90.00 90.00
With the nearest neighbours (Å) after each atom.
Positions (direct):
Al 0.0000 0.0000 0.0000  2 Cl 2.46
Al 0.5000 0.5000 0.5000  2 Cl 2.46
Cd 0.0000 0.0000 0.5000  4 Cd 3.09-3.20, 4 Al 3.25, 2 Cl 3.44
Cd 0.0000 0.5000 0.2652  2 Al 2.93, 4 Cd 3.09-3.20
Cd 0.5000 0.0000 0.7652  2 Al 2.93, 4 Cd 3.09-3.20
Cd 0.5000 0.5000 0.0000  4 Cd 3.09-3.20, 4 Al 3.25, 2 Cl 3.44
Cl 0.0000 0.5000 0.6811  2 Al 2.46
Cl 0.5000 0.0000 0.1811  2 Al 2.46

Values from the calculation:
For the volume, the calculation gives 23.3 Å³ per atom. The spin magnetization comes out at 0.00 μB/f.u.


Which is the most stable structure? (4) is the most stable.